Record 1
The following is a DFT calculation (PBE) of ScPaTa after structural relaxation.

Cell: 4.699 4.699 4.699 Å, 60.00 60.00 60.00°
Fractional positions:
Sc (0.000, 0.000, 0.000)
Pa (0.750, 0.750, 0.750)
Ta (0.250, 0.250, 0.250)

Computed properties:
energy relative to the elements	1.086	eV per atom



Record 2
The following is a DFT calculation (PBE) of ScPaTe after structural relaxation.

Cell: 5.134 5.134 5.134 Å, 60.00 60.00 60.00°
Fractional positions:
Sc (0.000, 0.000, 0.000)
Pa (0.250, 0.250, 0.250)
Te (0.500, 0.500, 0.500)

Computed properties:
energy	-17.40	eV per formula unit



Record 3
The following is a DFT calculation (PBE) of ScPaTe after structural relaxation.

Cell: 4.977 4.977 4.977 Å, 60.00 60.00 60.00°
Fractional positions:
Sc (0.000, 0.000, 0.000)
Pa (0.500, 0.500, 0.500)
Te (0.750, 0.750, 0.750)

Computed properties:
energy	-18.79	eV per formula unit



Record 4
The following is a DFT calculation (PBE) of TmScPa after structural relaxation.

Cell: 5.079 5.079 5.079 Å, 60.00 60.00 60.00°
Fractional positions:
Tm (0.000, 0.000, 0.000)
Sc (0.750, 0.750, 0.750)
Pa (0.500, 0.500, 0.500)

Computed properties:
energy relative to the elements	0.975	eV per atom



Record 5
The following is a DFT calculation (PBE) of ScUPa after structural relaxation.

Cell: 4.833 4.833 4.833 Å, 60.00 60.00 60.00°
Fractional positions:
Sc (0.000, 0.000, 0.000)
U (0.750, 0.750, 0.750)
Pa (0.500, 0.500, 0.500)

Computed properties:
energy relative to the elements	1.036	eV per atom



Record 6
The following is a DFT calculation (PBE) of Y2Sc2Pa after structural relaxation.

Cell: 8.551 8.551 8.551 Å, 151.62 151.62 40.56°
Fractional positions:
Y (0.095, 0.095, 0.000)
Y (0.905, 0.905, 0.000)
Sc (0.250, 0.750, 0.500)
Sc (0.750, 0.250, 0.500)
Pa (0.500, 0.500, 0.000)

Computed properties:
energy relative to the elements	0.571	eV per atom



Record 7
The following is a DFT calculation (PBE) of YScPa after structural relaxation.

Cell: 5.116 5.116 5.116 Å, 60.00 60.00 60.00°
Fractional positions:
Y (0.000, 0.000, 0.000)
Sc (0.750, 0.750, 0.750)
Pa (0.500, 0.500, 0.500)

Computed properties:
energy relative to the elements	0.987	eV per atom



Record 8
The following is a DFT calculation (PBE) of Y2Sc2Pa after structural relaxation.

Cell: 8.305 8.305 8.305 Å, 149.95 149.95 43.02°
Fractional positions:
Y (0.250, 0.750, 0.500)
Y (0.750, 0.250, 0.500)
Sc (0.090, 0.090, 0.000)
Sc (0.910, 0.910, 0.000)
Pa (0.500, 0.500, 0.000)

Computed properties:
energy relative to the elements	0.615	eV per atom



Record 9
The following is a DFT calculation (PBE) of ScPaZn after structural relaxation.

Cell: 4.702 4.702 4.702 Å, 60.00 60.00 60.00°
Fractional positions:
Sc (0.000, 0.000, 0.000)
Pa (0.500, 0.500, 0.500)
Zn (0.750, 0.750, 0.750)

Computed properties:
energy relative to the elements	0.406	eV per atom



Record 10
The following is a DFT calculation (PBE) of ScPaZn after structural relaxation.

Cell: 4.780 4.780 4.780 Å, 60.00 60.00 60.00°
Fractional positions:
Sc (0.000, 0.000, 0.000)
Pa (0.250, 0.250, 0.250)
Zn (0.500, 0.500, 0.500)

Computed properties:
energy relative to the elements	0.979	eV per atom



Record 11
The following is a DFT calculation (PBE) of ScPa2Zn after structural relaxation.

Cell: 3.113 3.113 11.591 Å, 90.00 90.00 120.00°
Fractional positions:
Sc (0.000, 0.000, 0.000)
Pa (0.333, 0.667, 0.238)
Pa (0.333, 0.667, 0.762)
Zn (0.333, 0.667, 0.500)

Computed properties:
energy relative to the elements	0.317	eV per atom



Record 12
The following is a DFT calculation (PBE) of ZrScPa after structural relaxation.

Cell: 4.947 4.947 4.947 Å, 60.00 60.00 60.00°
Fractional positions:
Zr (0.000, 0.000, 0.000)
Sc (0.500, 0.500, 0.500)
Pa (0.750, 0.750, 0.750)

Computed properties:
energy relative to the elements	1.123	eV per atom